No. 1
## AlAsCl (GGA-PBE)

Data for an optimized crystal structure of AlAsCl.

abc: 7.8217 7.8217 7.8217
angles: 155.79 155.80 34.49
Sites, in units of the cell vectors:
Al  0.8498  0.8498  0.0000
Cl  0.7101  0.7101  0.0000
As  0.4401  0.4401  0.0000

## Properties
E_form (uncorrected): -1.33 eV/f.u.
Fermi-level density of states: 0.501 states/eV per cell
space group: I4mm, No. 107

No. 2
## Na2RuBr (GGA-PBE)

Data for an optimized crystal structure of Na2RuBr.

abc: 8.1850 8.1850 6.3608
angles: 49.95 49.95 90.00
Sites, in units of the cell vectors:
Ru  0.7500  0.2500  0.5000
Ru  0.0000  0.0000  0.0000
Br  0.2500  0.7500  0.5000
Br  0.5000  0.5000  0.0000
Na  0.8750  0.8554  0.7500
Na  0.1446  0.6250  0.2500
Na  0.3750  0.3946  0.7500
Na  0.6054  0.1250  0.2500

## Properties
E_form (uncorrected): 1.74 eV/f.u.
Fermi-level density of states: 7.047 states/eV per cell
distance to the lowest polymorph of the same formula: 0 meV/atom
space group: I-42d, No. 122

No. 3
## RbPu4O12 (GGA-PBE)

Data for an optimized crystal structure of RbPu4O12.

abc: 7.2247 7.2247 7.2247
angles: 109.47 109.47 109.47
Sites, in units of the cell vectors:
O  0.4964  0.7479  0.7484
O  0.7523  0.0051  0.2528
O  0.9995  0.7479  0.2516
O  0.2477  0.9949  0.7472
O  0.2480  0.2524  0.5004
O  0.5036  0.2521  0.2516
O  0.7520  0.2524  0.0044
O  0.0005  0.2521  0.7484
O  0.2477  0.5005  0.2528
O  0.7523  0.4995  0.7472
O  0.7520  0.7476  0.4996
O  0.2480  0.7476  0.9956
Pu  0.5000  0.0000  0.0000
Pu  0.0000  0.5000  0.0000
Pu  0.5000  0.5000  0.5000
Pu  0.0000  0.0000  0.5000
Rb  0.0000  0.5000  0.5000

## Properties
E_form (uncorrected): -42.24 eV/f.u.
Fermi-level density of states: 11.887 states/eV per cell
space group: I4/mmm, No. 139